## SeN (GGA-PBE)

Data for crystalline SeN at its relaxed geometry.

a = 8.172 Å, b = 8.172 Å, c = 2.855 Å
α = 90.00°, β = 90.00°, γ = 90.00°
Space group P4_2/mnm (No. 136)
Asymmetric unit:
Se1 0.196 0.196 0.000 (multiplicity 4)
N1 0.204 0.796 0.000 (multiplicity 4)

For the formation energy without anion corrections, the calculation gives 2.17 eV/f.u. For the density of states at the Fermi level, the calculation gives 0.42 states/eV/atom.

***

## SrHW2 (GGA-PBE)

Data for crystalline SrHW2 at its relaxed geometry.

a = 6.486 Å, b = 6.486 Å, c = 6.486 Å
α = 90.00°, β = 90.00°, γ = 90.00°
Space group Fm-3m (No. 225)
Asymmetric unit:
Sr1 0.000 0.000 0.000 (multiplicity 4)
H1 0.000 0.000 0.500 (multiplicity 4)
W1 0.250 0.250 0.250 (multiplicity 8)

For the offset from the most stable computed form, the calculation gives 1887.9 meV/atom. For the density of states at the Fermi level, the calculation gives 1.29 states/eV/atom.

***

## K2O2F (GGA-PBE)

Data for crystalline K2O2F at its relaxed geometry.

a = 7.136 Å, b = 7.136 Å, c = 3.937 Å
α = 90.00°, β = 90.00°, γ = 90.00°
Space group P4/mbm (No. 127)
Asymmetric unit:
K1 0.207 0.293 0.000 (multiplicity 4)
O1 0.067 0.567 0.500 (multiplicity 4)
F1 0.000 0.000 0.000 (multiplicity 2)

For the formation energy without anion corrections, the calculation gives -7.64 eV/f.u. For the density of states at the Fermi level, the calculation gives 0.07 states/eV/atom.

***

## Zr3Cd3Hg (GGA-PBE)

Data for crystalline Zr3Cd3Hg at its relaxed geometry.

a = 6.3400 Å, b = 6.3400 Å, c = 29.2247 Å
α = 90.00°, β = 90.00°, γ = 120.00°
Space group R-3m (No. 166, hexagonal axes)
Asymmetric unit:
Zr1 0.0049 0.5025 0.2918 (multiplicity 18)
Cd1 0.0065 0.5033 0.8722 (multiplicity 18)
Hg1 0.0000 0.0000 0.2902 (multiplicity 6)

As for the formation energy: 0.1162 eV per atom. For the density of states at the Fermi level, the calculation gives 0.95 states/eV/atom.

***

## Ba3SrTl (GGA-PBE)

Data for crystalline Ba3SrTl at its relaxed geometry.

a = 6.799 Å, b = 6.799 Å, c = 6.799 Å
α = 90.00°, β = 90.00°, γ = 90.00°
Space group Pm-3m (No. 221)
Asymmetric unit:
Ba1 0.000 0.000 0.500 (multiplicity 3)
Sr1 0.000 0.000 0.000 (multiplicity 1)
Tl1 0.500 0.500 0.500 (multiplicity 1)

As for the formation energy: 0.6231 eV per atom. For the offset from the most stable computed form, the calculation gives 813.3 meV/atom. For the density of states at the Fermi level, the calculation gives 2.66 states/eV/atom.

***

## Ce4HoSe7 (GGA-PBE)

Data for crystalline Ce4HoSe7 at its relaxed geometry.

a = 13.779 Å, b = 4.096 Å, c = 12.372 Å
α = 90.00°, β = 105.14°, γ = 90.00°
Space group Cm (No. 8)
Asymmetric unit:
Ce1 0.000 0.000 0.000 (multiplicity 2)
Ce2 0.084 0.500 0.381 (multiplicity 2)
Ce3 0.188 0.000 0.766 (multiplicity 2)
Ce4 0.386 0.500 0.571 (multiplicity 2)
Ho1 0.271 0.500 0.150 (multiplicity 2)
Se1 0.045 0.500 0.625 (multiplicity 2)
Se2 0.128 0.500 0.930 (multiplicity 2)
Se3 0.154 0.000 0.222 (multiplicity 2)
Se4 0.226 0.000 0.522 (multiplicity 2)
Se5 0.347 0.500 0.789 (multiplicity 2)
Se6 0.381 0.000 0.077 (multiplicity 2)
Se7 0.424 0.500 0.352 (multiplicity 2)

For the formation energy without anion corrections, the calculation gives -21.76 eV/f.u. For the density of states at the Fermi level, the calculation gives 2.33 states/eV/atom.

***

## SmNp2Te4 (GGA-PBE)

Data for crystalline SmNp2Te4 at its relaxed geometry.

a = 4.283 Å, b = 14.386 Å, c = 15.154 Å
α = 90.00°, β = 90.00°, γ = 90.00°
Space group Cmcm (No. 63)
Asymmetric unit:
Sm1 0.000 0.118 0.250 (multiplicity 4)
Np1 0.000 0.363 0.066 (multiplicity 8)
Te1 0.000 0.000 0.000 (multiplicity 4)
Te2 0.000 0.280 0.626 (multiplicity 8)
Te3 0.000 0.458 0.250 (multiplicity 4)

For the formation energy without anion corrections, the calculation gives -5.99 eV/f.u. For the density of states at the Fermi level, the calculation gives 3.43 states/eV/atom.

***

## Pm6Nd5Sm2 (GGA-PBE)

Data for crystalline Pm6Nd5Sm2 at its relaxed geometry.

a = 11.902 Å, b = 20.919 Å, c = 3.667 Å
α = 90.00°, β = 90.00°, γ = 90.00°
Space group Pbam (No. 55)
Asymmetric unit:
Pm1 0.061 0.079 0.000 (multiplicity 4)
Pm2 0.080 0.367 0.000 (multiplicity 4)
Pm3 0.177 0.634 0.500 (multiplicity 4)
Nd1 0.000 0.500 0.500 (multiplicity 2)
Nd2 0.085 0.225 0.500 (multiplicity 4)
Nd3 0.199 0.947 0.500 (multiplicity 4)
Sm1 0.172 0.787 0.000 (multiplicity 4)

As for the formation energy: 0.0892 eV per atom. For the density of states at the Fermi level, the calculation gives 1.22 states/eV/atom.

***

Repeat the third record exactly.
## K2O2F (GGA-PBE)

Data for crystalline K2O2F at its relaxed geometry.

a = 7.136 Å, b = 7.136 Å, c = 3.937 Å
α = 90.00°, β = 90.00°, γ = 90.00°
Space group P4/mbm (No. 127)
Asymmetric unit:
K1 0.207 0.293 0.000 (multiplicity 4)
O1 0.067 0.567 0.500 (multiplicity 4)
F1 0.000 0.000 0.000 (multiplicity 2)

For the formation energy without anion corrections, the calculation gives -7.64 eV/f.u. For the density of states at the Fermi level, the calculation gives 0.07 states/eV/atom.